(1)
Below is a relaxed structure of NaPrTm4Se8, with properties calculated at the PBE level.

Unit cell a=8.371 b=8.371 c=8.515 alpha=60.56 beta=60.56 gamma=60.00
Atoms (fractional coordinates):
Na 0.372 0.372 0.885
Pr 0.004 0.004 0.987
Tm 0.627 0.627 0.120
Tm 0.005 0.485 0.505
Tm 0.485 0.005 0.505
Tm 0.005 0.005 0.505
Se 0.248 0.778 0.726
Se 0.778 0.248 0.726
Se 0.248 0.248 0.726
Se 0.239 0.239 0.284
Se 0.750 0.231 0.269
Se 0.231 0.750 0.269
Se 0.750 0.750 0.269
Se 0.759 0.759 0.724

Its raw formation energy is -24.429 eV per formula unit. The value obtained for the total magnetization is 0.00 Bohr magnetons per cell. As for the symmetry: R3m (160). For the volume, the calculation gives 425 Å³ per cell.



(2)
Below is a relaxed structure of Nd6HgOs2Br3, with properties calculated at the PBE level.

Unit cell a=4.160 b=9.295 c=10.217 alpha=108.12 beta=101.75 gamma=90.00
Atoms (fractional coordinates):
Nd 0.336 0.867 0.672
Nd 0.682 0.563 0.365
Nd 0.664 0.133 0.328
Nd 0.026 0.261 0.052
Nd 0.974 0.739 0.948
Nd 0.318 0.437 0.635
Hg 0.500 0.000 0.000
Os 0.833 0.659 0.665
Os 0.167 0.341 0.335
Br 0.500 0.500 0.000
Br 0.831 0.161 0.663
Br 0.169 0.839 0.337

Its raw formation energy is -8.781 eV per formula unit. The value obtained for the total magnetization is 0.00 Bohr magnetons per cell. As for the symmetry: C2/m (12). For the volume, the calculation gives 367 Å³ per cell.